Compound: PuAsS4
Source: Alexandria via LeMat-Bulk
Functional: PBE-GGA
Structure: optimized geometry

- size of the total moment (μB per formula unit) = 4.16
- calculated total energy (eV/atom) = -6.503

The structure in POSCAR format:
```
PuAsS4
1.0
5.1028 0.0000 0.0000
-2.5514 6.8931 -0.5172
0.0000 -2.5133 9.5576
As S Pu
2 8 2
direct
0.1400 0.2801 0.8448 As
0.8600 0.7199 0.1552 As
0.9944 0.9887 0.6664 S
0.7351 0.4701 0.3785 S
0.3149 0.6298 0.1620 S
0.6851 0.3702 0.8380 S
0.2649 0.5299 0.6215 S
0.9195 0.8390 0.9561 S
0.0056 0.0113 0.3336 S
0.0805 0.1610 0.0439 S
0.1957 0.3914 0.3297 Pu
0.8043 0.6086 0.6703 Pu
```